Record 1
Below is a relaxed TbPm3H crystal, with properties calculated at the GGA-PBE level.

- Crystal system: cubic
- Volume: 133.57 Å³/cell
- Density: 7.40 Mg/m³
- Size of the total moment: 0.0 μB per cell
- Space-group type: No. 221
- Energy: -4.62 eV/atom

a b c (Å): 5.112 5.112 5.112
angles (deg): 90.00 90.00 90.00
Fractional coordinates of all 5 atoms:
1 Pm 0.500 0.000 0.000
2 Tb 0.500 0.500 0.500
3 Pm 0.000 0.500 0.000
4 H 0.000 0.000 0.000
5 Pm 0.000 0.000 0.500

Record 2
Below is a relaxed BaNa2Bi2Pb crystal, with properties calculated at the GGA-PBE level.

- Crystal system: orthorhombic
- Volume: 439.08 Å³/cell
- Density: 6.12 Mg/m³
- Size of the total moment: 0.0 μB per cell
- ΔE_f: -0.471 eV/atom
- Space-group type: No. 26

a b c (Å): 5.084 8.724 9.900
angles (deg): 90.00 90.00 90.00
Fractional coordinates of all 12 atoms:
1 Bi 0.500 0.768 0.628
2 Ba 0.000 0.476 0.575
3 Pb 0.500 0.139 0.698
4 Na 0.000 0.370 0.178
5 Na 0.500 0.547 0.930
6 Na 0.000 0.870 0.822
7 Bi 0.500 0.268 0.372
8 Ba 0.000 0.976 0.425
9 Pb 0.500 0.639 0.302
10 Na 0.500 0.047 0.070
11 Bi 0.000 0.746 0.125
12 Bi 0.000 0.246 0.875

Record 3
Below is a relaxed RbNa2RuF8 crystal, with properties calculated at the GGA-PBE level.

- Crystal system: triclinic
- E_form (uncorrected): -26.6 eV per formula unit
- Volume: 202.34 Å³/cell
- Density: 3.16 Mg/m³
- Size of the total moment: 3.0 μB per cell
- Space-group type: No. 2

a b c (Å): 4.959 5.212 7.829
angles (deg): 89.79 89.87 90.26
Each line ends with the local moment (μB).
Fractional coordinates of all 12 atoms:
1 F 0.842 0.212 0.174  0.09
2 F 0.305 0.228 0.000  0.10
3 F 0.156 0.787 0.174  0.09
4 Rb 0.000 0.000 0.500  0.00
5 F 0.523 0.739 0.500  0.18
6 F 0.844 0.213 0.826  0.09
7 F 0.158 0.788 0.826  0.09
8 Na 0.499 0.499 0.738  0.00
9 Ru 0.000 0.000 0.000  1.88
10 F 0.477 0.261 0.500  0.18
11 F 0.695 0.772 0.000  0.10
12 Na 0.501 0.501 0.262  0.00

Record 4
Below is a relaxed Na2NpSnN4 crystal, with properties calculated at the GGA-PBE level.

- Crystal system: monoclinic
- E_form (uncorrected): -3.2 eV per formula unit
- Volume: 110.76 Å³/cell
- Density: 6.86 Mg/m³
- Size of the total moment: 1.0 μB per cell
- Space-group type: No. 10

a b c (Å): 3.380 5.674 6.115
angles (deg): 109.21 90.00 90.00
Each line ends with the local moment (μB).
Fractional coordinates of all 8 atoms:
1 Na 0.000 0.500 0.500  0.00
2 N 0.500 0.766 0.804  -0.04
3 Np 0.500 0.500 0.000  1.25
4 N 0.500 0.234 0.196  -0.04
5 N 0.000 0.295 0.805  -0.06
6 N 0.000 0.705 0.195  -0.06
7 Na 0.500 0.000 0.500  0.00
8 Sn 0.000 0.000 0.000  0.00

Record 5
Below is a relaxed ErZn3Rh3 crystal, with properties calculated at the GGA-PBE level.

- Crystal system: cubic
- Volume: 295.15 Å³/cell
- Density: 7.56 Mg/m³
- Size of the total moment: 0.0 μB per cell
- ΔE_f: 0.254 eV/atom
- Space-group type: No. 223

a b c (Å): 6.658 6.658 6.658
angles (deg): 90.00 90.00 90.00
Fractional coordinates of all 14 atoms:
1 Zn 0.000 0.250 0.500
2 Zn 0.750 0.500 0.000
3 Rh 0.750 0.000 0.500
4 Rh 0.250 0.000 0.500
5 Rh 0.500 0.250 0.000
6 Rh 0.500 0.750 0.000
7 Zn 0.500 0.000 0.250
8 Er 0.500 0.500 0.500
9 Zn 0.500 0.000 0.750
10 Rh 0.000 0.500 0.750
11 Rh 0.000 0.500 0.250
12 Zn 0.000 0.750 0.500
13 Zn 0.250 0.500 0.000
14 Er 0.000 0.000 0.000

Record 6
Below is a relaxed Ac4HgRhN crystal, with properties calculated at the GGA-PBE level.

- Crystal system: monoclinic
- E_form (uncorrected): -4.6 eV per formula unit
- Volume: 462.55 Å³/cell
- Density: 8.80 Mg/m³
- Size of the total moment: 0.0 μB per cell
- Space-group type: No. 11

a b c (Å): 7.206 7.463 9.047
angles (deg): 90.00 108.08 90.00
Fractional coordinates of all 14 atoms:
1 Hg 0.236 0.250 0.062
2 Ac 0.995 0.506 0.278
3 Rh 0.223 0.250 0.551
4 Rh 0.777 0.750 0.449
5 N 0.226 0.750 0.308
6 Hg 0.764 0.750 0.938
7 Ac 0.005 0.494 0.722
8 Ac 0.555 0.250 0.426
9 Ac 0.445 0.750 0.574
10 Ac 0.005 0.006 0.722
11 Ac 0.565 0.250 0.853
12 N 0.774 0.250 0.692
13 Ac 0.995 0.994 0.278
14 Ac 0.435 0.750 0.147